No. 1
This record from the Alexandria database describes crystalline La3Nd4Ru4 at its relaxed geometry. The functional is PBE.

Results
Space-group type ... Immm (71)
Formation energy ... -0.129 eV/atom
Raw total energy ... -6.579 eV/atom
N(E_F) ... 8.9 states/eV/cell

Cell: 9.607 9.607 9.607 Å, 156.90 123.57 61.78°
Sites, in units of the cell vectors:
La: 0.000 0.000 0.000
La: 0.402 0.902 0.500
La: 0.598 0.098 0.500
Nd: 0.022 0.332 0.689
Nd: 0.357 0.668 0.689
Nd: 0.643 0.332 0.311
Nd: 0.978 0.668 0.311
Ru: 0.256 0.256 0.000
Ru: 0.262 0.500 0.762
Ru: 0.738 0.500 0.238
Ru: 0.744 0.744 0.000

No. 2
This record from the Alexandria database describes crystalline LaNd2Ru2 at its relaxed geometry. The functional is PBE.

Results
Space-group type ... P2_1/m (11)
Formation energy ... -0.131 eV/atom
Raw total energy ... -6.734 eV/atom
N(E_F) ... 8.8 states/eV/cell

Cell: 5.640 4.371 11.139 Å, 90.00 98.10 90.00°
Sites, in units of the cell vectors:
La: 0.030 0.250 0.281
La: 0.970 0.750 0.719
Nd: 0.265 0.750 0.032
Nd: 0.425 0.250 0.623
Nd: 0.575 0.750 0.377
Nd: 0.735 0.250 0.968
Ru: 0.127 0.750 0.494
Ru: 0.196 0.250 0.857
Ru: 0.804 0.750 0.143
Ru: 0.873 0.250 0.506

No. 3
This record from the Alexandria database describes crystalline LaNd3Ru2 at its relaxed geometry. The functional is PBE.

Results
Space-group type ... C2/m (12)
Formation energy ... -0.065 eV/atom
Raw total energy ... -6.362 eV/atom
N(E_F) ... 9.5 states/eV/cell
Distance to the lowest polymorph of the same formula ... 157 meV per atom

Cell: 8.307 8.307 8.658 Å, 112.86 112.86 35.89°
Sites, in units of the cell vectors:
La: 0.131 0.131 0.218
La: 0.869 0.869 0.782
Nd: 0.068 0.068 0.728
Nd: 0.320 0.320 0.012
Nd: 0.369 0.369 0.486
Nd: 0.631 0.631 0.514
Nd: 0.680 0.680 0.988
Nd: 0.932 0.932 0.272
Ru: 0.232 0.232 0.641
Ru: 0.484 0.484 0.840
Ru: 0.516 0.516 0.160
Ru: 0.768 0.768 0.359